# 1
The following is a PBE calculation of a geometry-optimized BaH5Os structure, from the Alexandria database.

Summary:
M_tot, μB/f.u.: 1.0
V, A^3/atom: 14.4
VASP energy, eV per atom: -4.203

a b c (Å): 5.613 5.613 5.613
angles (deg): 108.34 84.24 141.78
Fractional coordinates of all 7 atoms:
Ba1 0.000 0.000 0.000
H1 0.000 0.500 0.500
H2 0.297 0.001 0.296
H3 0.500 0.256 0.756
H4 0.500 0.744 0.244
H5 0.706 0.001 0.704
Os1 0.500 0.000 0.500



# 2
The following is a PBE calculation of a geometry-optimized Ba2HOs structure, from the Alexandria database.

Summary:
M_tot, μB/f.u.: 1.0
V, A^3/atom: 26.4
VASP energy, eV per atom: -3.960
Polymorph energy (0 for the lowest one), eV per atom: 0.0000

a b c (Å): 5.307 5.307 5.307
angles (deg): 60.00 60.00 60.00
Fractional coordinates of all 4 atoms:
Ba1 0.250 0.250 0.250
Ba2 0.750 0.750 0.750
H1 0.000 0.000 0.000
Os1 0.500 0.500 0.500



# 3
The following is a PBE calculation of a geometry-optimized BaH8Os2 structure, from the Alexandria database.

Summary:
M_tot, μB/f.u.: 0.0
V, A^3/atom: 10.0
VASP energy, eV per atom: -4.709

a b c (Å): 4.823 4.823 5.305
angles (deg): 91.85 91.85 116.55
Fractional coordinates of all 11 atoms:
Ba1 0.000 0.000 0.000
H1 0.096 0.576 0.244
H2 0.205 0.935 0.470
H3 0.469 0.469 0.784
H4 0.538 0.970 0.718
H5 0.549 0.549 0.322
H6 0.576 0.096 0.244
H7 0.935 0.205 0.470
H8 0.970 0.538 0.718
Os1 0.247 0.557 0.519
Os2 0.557 0.247 0.519



# 4
The following is a PBE calculation of a geometry-optimized Ba2HOs structure, from the Alexandria database.

Summary:
M_tot, μB/f.u.: 1.0
V, A^3/atom: 34.0
VASP energy, eV per atom: -3.907
Polymorph energy (0 for the lowest one), eV per atom: 0.0526

a b c (Å): 8.312 8.312 8.312
angles (deg): 136.10 136.10 63.82
Fractional coordinates of all 8 atoms:
Ba1 0.092 0.625 0.967
Ba2 0.375 0.342 0.467
Ba3 0.658 0.125 0.033
Ba4 0.875 0.908 0.533
H1 0.000 0.000 0.000
H2 0.750 0.250 0.500
Os1 0.250 0.750 0.500
Os2 0.500 0.500 0.000